[1]
This record from Alexandria via LeMat-Bulk describes a geometry-optimized Cu2HIrPd structure. The functional is PBE-GGA.

Cell lengths 3.998, 3.998, 3.580 Å; angles 90.00, 90.00, 90.00 degrees
Space group P4/mmm (No. 123)
Inequivalent atoms, fractional coordinates:
Cu (0.000, 0.500, 0.000)
H (0.000, 0.000, 0.000)
Ir (0.000, 0.000, 0.500)
Pd (0.500, 0.500, 0.500)

***

[2]
This record from Alexandria via LeMat-Bulk describes a geometry-optimized CuHIrPd2 structure. The functional is PBE-GGA.

Cell lengths 3.992, 3.992, 3.828 Å; angles 90.00, 90.00, 90.00 degrees
Space group P4/mmm (No. 123)
Inequivalent atoms, fractional coordinates:
Cu (0.000, 0.000, 0.000)
H (0.500, 0.500, 0.500)
Ir (0.500, 0.500, 0.000)
Pd (0.000, 0.500, 0.500)

***

[3]
This record from Alexandria via LeMat-Bulk describes a geometry-optimized Cu2H4IrPd structure. The functional is PBE-GGA.

Cell lengths 5.857, 5.877, 8.153 Å; angles 90.00, 90.00, 90.00 degrees
Space group Fmm2 (No. 42)
Inequivalent atoms, fractional coordinates:
Cu (0.250, 0.250, 0.000)
H (0.000, 0.245, 0.126)
H (0.228, 0.000, 0.377)
Ir (0.000, 0.000, 0.242)
Pd (0.000, 0.000, 0.759)

***

[4]
This record from Alexandria via LeMat-Bulk describes a geometry-optimized CuHIrPd2 structure. The functional is PBE-GGA.

Cell lengths 3.892, 3.892, 3.983 Å; angles 90.00, 90.00, 90.00 degrees
Space group P4/mmm (No. 123)
Inequivalent atoms, fractional coordinates:
Cu (0.000, 0.000, 0.000)
H (0.000, 0.000, 0.500)
Ir (0.500, 0.500, 0.000)
Pd (0.000, 0.500, 0.500)

***

[5]
This record from Alexandria via LeMat-Bulk describes a geometry-optimized PmCuH8Ir2 structure. The functional is PBE-GGA.

Cell lengths 4.7264, 4.7264, 16.5356 Å; angles 90.00, 90.00, 120.00 degrees
Space group R-3 (No. 148, hexagonal axes)
Inequivalent atoms, fractional coordinates:
Pm (0.0000, 0.0000, 0.0000)
Cu (0.0000, 0.0000, 0.5000)
H (0.0000, 0.0000, 0.3130)
H (0.0016, 0.6479, 0.7770)
Ir (0.0000, 0.0000, 0.2139)

***

[6]
This record from Alexandria via LeMat-Bulk describes a geometry-optimized PrCuH8Ir2 structure. The functional is PBE-GGA.

Cell lengths 4.7534, 4.7534, 16.7072 Å; angles 90.00, 90.00, 120.00 degrees
Space group R-3 (No. 148, hexagonal axes)
Inequivalent atoms, fractional coordinates:
Pr (0.0000, 0.0000, 0.0000)
Cu (0.0000, 0.0000, 0.5000)
H (0.0000, 0.0000, 0.3102)
H (0.0119, 0.6529, 0.7806)
Ir (0.0000, 0.0000, 0.2116)

***

[7]
This record from Alexandria via LeMat-Bulk describes a geometry-optimized PrCu2H8Ir structure. The functional is PBE-GGA.

Cell lengths 4.610, 4.661, 5.104 Å; angles 91.44, 90.76, 90.18 degrees
Space group P-1 (No. 2)
Inequivalent atoms, fractional coordinates:
Pr (0.000, 0.000, 0.000)
Cu (0.495, 0.496, 0.764)
H (0.228, 0.499, 0.998)
H (0.235, 0.235, 0.583)
H (0.239, 0.760, 0.409)
H (0.497, 0.878, 0.810)
Ir (0.500, 0.000, 0.500)

***

[8]
This record from Alexandria via LeMat-Bulk describes a geometry-optimized Cu2HIrPt structure. The functional is PBE-GGA.

Cell lengths 3.963, 3.963, 3.646 Å; angles 90.00, 90.00, 90.00 degrees
Space group P4/mmm (No. 123)
Inequivalent atoms, fractional coordinates:
Cu (0.000, 0.500, 0.000)
H (0.000, 0.000, 0.000)
Ir (0.000, 0.000, 0.500)
Pt (0.500, 0.500, 0.500)

***

[9]
This record from Alexandria via LeMat-Bulk describes a geometry-optimized CuHIrPt2 structure. The functional is PBE-GGA.

Cell lengths 3.991, 3.991, 3.876 Å; angles 90.00, 90.00, 90.00 degrees
Space group P4/mmm (No. 123)
Inequivalent atoms, fractional coordinates:
Cu (0.000, 0.000, 0.000)
H (0.500, 0.500, 0.500)
Ir (0.500, 0.500, 0.000)
Pt (0.000, 0.500, 0.500)

***

[10]
This record from Alexandria via LeMat-Bulk describes a geometry-optimized PuCuH8Ir2 structure. The functional is PBE-GGA.

Cell lengths 4.6906, 4.6906, 16.6729 Å; angles 90.00, 90.00, 120.00 degrees
Space group R-3 (No. 148, hexagonal axes)
Inequivalent atoms, fractional coordinates:
Pu (0.0000, 0.0000, 0.0000)
Cu (0.0000, 0.0000, 0.5000)
H (0.0000, 0.0000, 0.3114)
H (0.0123, 0.3629, 0.7777)
Ir (0.0000, 0.0000, 0.2124)

***

[11]
This record from Alexandria via LeMat-Bulk describes a geometry-optimized RbCuH6Ir structure. The functional is PBE-GGA.

Cell lengths 4.7275, 4.7275, 5.8451 Å; angles 90.00, 90.00, 120.00 degrees
Space group P312 (No. 149)
Inequivalent atoms, fractional coordinates:
Rb (0.0000, 0.0000, 0.0000)
Cu (0.3333, 0.6667, 0.5000)
H (0.4413, 0.0198, 0.6786)
Ir (0.6667, 0.3333, 0.5000)

***

[12]
This record from Alexandria via LeMat-Bulk describes a geometry-optimized Cu2HIrRh structure. The functional is PBE-GGA.

Cell lengths 3.921, 3.921, 3.653 Å; angles 90.00, 90.00, 90.00 degrees
Space group P4/mmm (No. 123)
Inequivalent atoms, fractional coordinates:
Cu (0.000, 0.500, 0.000)
H (0.000, 0.000, 0.000)
Ir (0.000, 0.000, 0.500)
Rh (0.500, 0.500, 0.500)

***

The following calculated total energy values (in eV/atom) correspond, in order, to the records above: -5.01, -5.21, -4.37, -5.14, -4.57, -4.58, -4.28, -5.20, -5.54, -5.28, -3.85, -5.35.
The following ρ values (in Mg/m³) correspond, in order, to the records above: 12.38, 12.78, 10.17, 12.92, 9.36, 9.10, 7.09, 14.94, 17.40, 10.98, 5.10, 12.52.
The following density of states at the Fermi level values (in states/eV/f.u.) correspond, in order, to the records above: 4.748, 5.137, 1.709, 4.983, 1.608, 1.374, 0.870, 6.539, 4.004, 14.625, 1.514, 6.958.